# PBE with a Hubbard U Cs2ErFeO4, relaxed
data_Cs2ErFeO4
_cell_length_a 5.640
_cell_length_b 13.006
_cell_length_c 23.117
_cell_angle_alpha 90.00
_cell_angle_beta 90.00
_cell_angle_gamma 90.00
_space_group_name_H-M_alt 'F d d d'
_space_group_IT_number 70
loop_
_space_group_symop_operation_xyz
'x,y,z'
'-x,-y,-z'
'-x+1/4,-y+1/4,z'
'x+1/4,y+1/4,-z'
'x,-y+1/4,-z+1/4'
'-x,y+1/4,z+1/4'
'-x+1/4,y,-z+1/4'
'x+1/4,-y,z+1/4'
'x,y+1/2,z+1/2'
'-x,-y+1/2,-z+1/2'
'-x+1/4,-y+3/4,z+1/2'
'x+1/4,y+3/4,-z+1/2'
'x,-y+3/4,-z+3/4'
'-x,y+3/4,z+3/4'
'-x+1/4,y+1/2,-z+3/4'
'x+1/4,-y+1/2,z+3/4'
'x+1/2,y,z+1/2'
'-x+1/2,-y,-z+1/2'
'-x+3/4,-y+1/4,z+1/2'
'x+3/4,y+1/4,-z+1/2'
'x+1/2,-y+1/4,-z+3/4'
'-x+1/2,y+1/4,z+3/4'
'-x+3/4,y,-z+3/4'
'x+3/4,-y,z+3/4'
'x+1/2,y+1/2,z'
'-x+1/2,-y+1/2,-z'
'-x+3/4,-y+3/4,z'
'x+3/4,y+3/4,-z'
'x+1/2,-y+3/4,-z+1/4'
'-x+1/2,y+3/4,z+1/4'
'-x+3/4,y+1/2,-z+1/4'
'x+3/4,-y+1/2,z+1/4'
loop_
_atom_site_label
_atom_site_type_symbol
_atom_site_fract_x
_atom_site_fract_y
_atom_site_fract_z
Cs1 Cs 0.125 0.125 0.305
Er1 Er 0.125 0.125 0.125
Fe1 Fe 0.125 0.125 0.625
O1 O 0.101 0.291 0.834
# Total DFT energy (no corrections) ... -5.8270 eV/atom
# Total moment ... 0.62 μB per atom
# Fermi-level density of states ... 0.00 states/eV/cell